A plane-wave DFT calculation with GGA-PBE was carried out for an optimized crystal structure of Pm3Y5Er4.

Computed properties:
**Calculated formation energy**: 0.47 kcal/mol of atoms
**Electronic total energy**: -5.381 eV/atom

```
Pm3Y5Er4
1.0
6.889 -0.357 1.840
-5.234 7.434 -6.690
4.094 -3.830 11.578
Pm Y Er
3 5 4
direct
0.586 0.168 0.335
0.000 0.000 0.500
0.414 0.832 0.665
0.334 0.667 0.833
0.500 0.000 0.500
0.749 0.501 0.001
0.251 0.499 0.999
0.666 0.333 0.167
0.918 0.834 0.667
0.835 0.669 0.834
0.165 0.331 0.166
0.082 0.166 0.333
```



A plane-wave DFT calculation with GGA-PBE was carried out for an optimized crystal structure of Sm4Al12Hg.

Computed properties:
**Calculated formation energy**: -9.02 kcal/mol of atoms
**Electronic total energy**: -4.161 eV/atom

```
Sm4Al12Hg
1.0
7.232 0.000 -2.557
-3.616 6.263 -2.557
0.000 0.000 7.671
Sm Al Hg
4 12 1
direct
0.000 0.000 0.500
0.500 0.000 0.000
0.500 0.500 0.500
0.000 0.500 0.000
0.000 0.313 0.313
0.000 0.687 0.687
0.687 0.687 0.000
0.313 0.313 0.000
0.313 0.000 0.313
0.687 0.000 0.687
0.500 0.250 0.750
0.500 0.750 0.250
0.750 0.250 0.500
0.250 0.750 0.500
0.750 0.500 0.250
0.250 0.500 0.750
0.000 0.000 0.000
```



A plane-wave DFT calculation with GGA-PBE was carried out for an optimized crystal structure of TcTe2W.

Computed properties:
**Formation energy from raw total energies**: 0.587 eV per atom
**Electronic total energy**: -6.813 eV/atom

```
TcTe2W
1.0
-7.106 -3.934 -2.671
-6.658 -5.362 0.200
-8.175 -2.507 0.032
Tc Te W
1 2 1
direct
0.750 0.750 0.750
0.001 0.001 0.001
0.499 0.499 0.499
0.250 0.250 0.250
```



A plane-wave DFT calculation with GGA-PBE was carried out for an optimized crystal structure of CrPd6Pt2.

Computed properties:
**Calculated formation energy**: 0.56 kcal/mol of atoms
**Electronic total energy**: -5.849 eV/atom

```
CrPd6Pt2
1.0
4.745 -0.083 -0.081
1.214 7.722 0.942
1.214 1.191 7.687
Cr Pd Pt
2 12 4
direct
0.250 0.128 0.872
0.750 0.872 0.128
0.474 0.686 0.424
0.026 0.576 0.314
0.526 0.314 0.576
0.974 0.424 0.686
0.641 0.091 0.346
0.859 0.654 0.909
0.359 0.909 0.654
0.141 0.346 0.091
0.310 0.773 0.011
0.190 0.989 0.227
0.690 0.227 0.989
0.810 0.011 0.773
0.419 0.545 0.790
0.081 0.210 0.455
0.581 0.455 0.210
0.919 0.790 0.545
```